# 1
# NaLuCd2

Crystalline NaLuCd2 at its relaxed geometry (PBE, the Alexandria database).

Computed properties:
- crystal system = trigonal
- total moment (μB per formula unit) = 0.00
- E (eV/atom) = -1.971
- ρ (g cm⁻³) = 6.57
- energy above the most stable polymorph in this dataset (kJ per mole of atoms) = 10.89

a b c (Å): 3.4852 3.4852 10.3580
angles (deg): 80.31 80.31 60.00
Fractional coordinates of all 4 atoms:
Lu1 0.5000 0.5000 0.5000
Cd1 0.2475 0.2475 0.2576
Cd2 0.7525 0.7525 0.7424
Na1 0.0000 0.0000 0.0000



# 2
# NaLuCdPb

Crystalline NaLuCdPb at its relaxed geometry (PBE, the Alexandria database).

Computed properties:
- crystal system = cubic
- total moment (μB per formula unit) = 0.00
- E (eV/atom) = -2.849
- ρ (g cm⁻³) = 8.25

a b c (Å): 5.2820 5.2820 5.2820
angles (deg): 60.00 60.00 60.00
Fractional coordinates of all 4 atoms:
Na1 0.7500 0.7500 0.7500
Pb1 0.5000 0.5000 0.5000
Lu1 0.2500 0.2500 0.2500
Cd1 0.0000 0.0000 0.0000



# 3
# NaPrLuCd

Crystalline NaPrLuCd at its relaxed geometry (PBE, the Alexandria database).

Computed properties:
- crystal system = cubic
- total moment (μB per formula unit) = 0.47
- E (eV/atom) = -2.844
- ρ (g cm⁻³) = 6.54

a b c (Å): 5.4509 5.4509 5.4509
angles (deg): 60.00 60.00 60.00
Fractional coordinates of all 4 atoms:
Na1 0.2500 0.2500 0.2500
Lu1 0.5000 0.5000 0.5000
Pr1 0.0000 0.0000 0.0000
Cd1 0.7500 0.7500 0.7500



# 4
# NaLuZnCd

Crystalline NaLuZnCd at its relaxed geometry (PBE, the Alexandria database).

Computed properties:
- crystal system = cubic
- total moment (μB per formula unit) = 0.00
- E (eV/atom) = -2.055
- ρ (g cm⁻³) = 6.83

a b c (Å): 5.0566 5.0566 5.0566
angles (deg): 60.00 60.00 60.00
Fractional coordinates of all 4 atoms:
Na1 0.0000 0.0000 0.0000
Cd1 0.7500 0.7500 0.7500
Lu1 0.5000 0.5000 0.5000
Zn1 0.2500 0.2500 0.2500



# 5
# Nd2LuCd

Crystalline Nd2LuCd at its relaxed geometry (PBE, the Alexandria database).

Computed properties:
- crystal system = cubic
- total moment (μB per formula unit) = 0.00
- E (eV/atom) = -3.807
- ρ (g cm⁻³) = 7.99
- energy above the most stable polymorph in this dataset (kJ per mole of atoms) = 5.93

a b c (Å): 5.5309 5.5309 5.5309
angles (deg): 60.00 60.00 60.00
Fractional coordinates of all 4 atoms:
Lu1 0.0000 0.0000 0.0000
Nd1 0.2500 0.2500 0.2500
Nd2 0.7500 0.7500 0.7500
Cd1 0.5000 0.5000 0.5000



# 6
# NdLu2Cd

Crystalline NdLu2Cd at its relaxed geometry (PBE, the Alexandria database).

Computed properties:
- crystal system = cubic
- total moment (μB per formula unit) = 1.04
- E (eV/atom) = -3.628
- ρ (g cm⁻³) = 8.94
- energy above the most stable polymorph in this dataset (kJ per mole of atoms) = 19.11

a b c (Å): 5.4215 5.4215 5.4215
angles (deg): 60.00 60.00 60.00
Fractional coordinates of all 4 atoms:
Cd1 0.5000 0.5000 0.5000
Lu1 0.7500 0.7500 0.7500
Lu2 0.2500 0.2500 0.2500
Nd1 0.0000 0.0000 0.0000



# 7
# NdLu2Cd

Crystalline NdLu2Cd at its relaxed geometry (PBE, the Alexandria database).

Computed properties:
- crystal system = trigonal
- total moment (μB per formula unit) = 0.00
- E (eV/atom) = -3.751
- ρ (g cm⁻³) = 8.64
- energy above the most stable polymorph in this dataset (kJ per mole of atoms) = 7.23

a b c (Å): 3.5476 3.5476 10.8874
angles (deg): 80.62 80.62 60.00
Fractional coordinates of all 4 atoms:
Cd1 0.0000 0.0000 0.0000
Nd1 0.5000 0.5000 0.5000
Lu1 0.7429 0.7429 0.7713
Lu2 0.2571 0.2571 0.2287



# 8
# NdLuCd4

Crystalline NdLuCd4 at its relaxed geometry (PBE, the Alexandria database).

Computed properties:
- crystal system = cubic
- total moment (μB per formula unit) = 0.00
- E (eV/atom) = -2.398
- ρ (g cm⁻³) = 8.65

a b c (Å): 5.9327 5.9327 5.9327
angles (deg): 60.00 60.00 60.00
Fractional coordinates of all 6 atoms:
Nd1 0.2500 0.2500 0.2500
Cd1 0.1250 0.6250 0.6250
Cd2 0.6250 0.6250 0.1250
Cd3 0.6250 0.1250 0.6250
Cd4 0.6250 0.6250 0.6250
Lu1 0.0000 0.0000 0.0000